Computed, not measured: crystalline Er6MoO12 at its relaxed geometry at the PBE+U level of DFT.

The structure in POSCAR format:
```
Er6MoO12
1.0
4.872 2.813 3.099
-4.872 2.813 3.099
0.000 -5.626 3.099
Er Mo O
6 1 12
Direct
0.112 0.644 0.817 Er
0.183 0.888 0.356 Er
0.356 0.183 0.888 Er
0.644 0.817 0.112 Er
0.817 0.112 0.644 Er
0.888 0.356 0.183 Er
0.500 0.500 0.500 Mo
0.069 0.323 0.910 O
0.090 0.931 0.677 O
0.201 0.536 0.421 O
0.323 0.910 0.069 O
0.421 0.202 0.536 O
0.464 0.579 0.799 O
0.536 0.421 0.202 O
0.579 0.799 0.464 O
0.677 0.090 0.931 O
0.798 0.464 0.579 O
0.910 0.069 0.323 O
0.931 0.677 0.090 O
```

Results
size of the total moment	0.00	μB per cell
energy above the lowest structure with this stoichiometry	0.000	eV/atom
D(E_F)	0.000	states/eV/cell
E_tot	-155.8	eV for the cell shown